# 1
VASP calculation (PBE-GGA) on a relaxed Ag2SnS crystal.

a = 7.6197 Å, b = 7.6197 Å, c = 6.1150 Å
α = 51.46°, β = 51.46°, γ = 90.00°
Sites, in units of the cell vectors:
S (0.5000, 0.5000, 0.0000)
S (0.2500, 0.7500, 0.5000)
Sn (0.0000, 0.0000, 0.0000)
Sn (0.7500, 0.2500, 0.5000)
Ag (0.5925, 0.1250, 0.2500)
Ag (0.1575, 0.6250, 0.2500)
Ag (0.3750, 0.4075, 0.7500)
Ag (0.8750, 0.8425, 0.7500)

Output
Formation energy without anion corrections = 0.066 eV/atom
Space group = I-42d, No. 122
Energy = -3.392 eV/atom
Total magnetic moment = 0.000 Bohr magnetons per cell
Crystal system = tetragonal
V = 168 Å³ per cell

# 2
VASP calculation (PBE-GGA) on a relaxed Ag8SnS6 crystal.

a = 7.6614 Å, b = 10.8431 Å, c = 15.4481 Å
α = 90.00°, β = 90.00°, γ = 90.00°
Sites, in units of the cell vectors:
Ag (0.5189, 0.1121, 0.4797)
Ag (0.9811, 0.1121, 0.9797)
Ag (0.4811, 0.6121, 0.5203)
Ag (0.3566, 0.9145, 0.7592)
Ag (0.1434, 0.9145, 0.2592)
Ag (0.8566, 0.4145, 0.7408)
Ag (0.0189, 0.6121, 0.0203)
Ag (0.6434, 0.4145, 0.2408)
Ag (0.2697, 0.3739, 0.1294)
Ag (0.7303, 0.8739, 0.8706)
Ag (0.2303, 0.3739, 0.6294)
Ag (0.7697, 0.8739, 0.3706)
Ag (0.8779, 0.1882, 0.2273)
Ag (0.1221, 0.6882, 0.7727)
Ag (0.6221, 0.1882, 0.7273)
Ag (0.3779, 0.6882, 0.2727)
Ag (0.6027, 0.1963, 0.0921)
Ag (0.3973, 0.6963, 0.9079)
Ag (0.2348, 0.8333, 0.0596)
Ag (0.1027, 0.6963, 0.4079)
Ag (0.0108, 0.5941, 0.2254)
Ag (0.8973, 0.1963, 0.5921)
Ag (0.4892, 0.5941, 0.7254)
Ag (0.5108, 0.0941, 0.2746)
Ag (0.5695, 0.5159, 0.0652)
Ag (0.4305, 0.0159, 0.9348)
Ag (0.9305, 0.5159, 0.5652)
Ag (0.0695, 0.0159, 0.4348)
Ag (0.7348, 0.3333, 0.4404)
Ag (0.2652, 0.8333, 0.5596)
Ag (0.7652, 0.3333, 0.9404)
Ag (0.9892, 0.0941, 0.7746)
Sn (0.7345, 0.8491, 0.1249)
Sn (0.2655, 0.3491, 0.8751)
Sn (0.7655, 0.8491, 0.6249)
Sn (0.2345, 0.3491, 0.3751)
S (0.7716, 0.1065, 0.3767)
S (0.2284, 0.6065, 0.6233)
S (0.7284, 0.1065, 0.8767)
S (0.2716, 0.6065, 0.1233)
S (0.8160, 0.3651, 0.1125)
S (0.1840, 0.8651, 0.8875)
S (0.6840, 0.3651, 0.6125)
S (0.3160, 0.8651, 0.3875)
S (0.7265, 0.7187, 0.2507)
S (0.2735, 0.2187, 0.7493)
S (0.7735, 0.7187, 0.7507)
S (0.2265, 0.2187, 0.2493)
S (0.9902, 0.9807, 0.1268)
S (0.0098, 0.4807, 0.8732)
S (0.5098, 0.9807, 0.6268)
S (0.4902, 0.4807, 0.3732)
S (0.7701, 0.7182, 0.4986)
S (0.2299, 0.2182, 0.5014)
S (0.7299, 0.7182, 0.9986)
S (0.2701, 0.2182, 0.0014)
S (0.9828, 0.4832, 0.3788)
S (0.0172, 0.9832, 0.6212)
S (0.5172, 0.4832, 0.8788)
S (0.4828, 0.9832, 0.1212)

Output
Formation energy without anion corrections = -0.115 eV/atom
Space group = Pna2_1, No. 33
Energy = -3.553 eV/atom
Total magnetic moment = 0.000 Bohr magnetons per cell
Crystal system = orthorhombic
Energy relative to the lowest polymorph listed for this composition = 6.1 meV/atom
V = 1283 Å³ per cell

> energy of number 1 (Ag2SnS)?

-3.392 eV/atom